# 1
The following is a PBE-GGA calculation of a relaxed structure of Fe2HgIr, from the Alexandria database.

Its electronic total energy is -49.74 eV per cell. Its spin magnetization is 6.2 μB per formula unit. As for the formation energy: 1.2 eV/f.u.

It has space group Imm2 (No. 44), with a = 2.9873 Å, b = 4.4682 Å, c = 8.9214 Å, α = 90.00°, β = 90.00° and γ = 90.00°. Symmetry generates all atoms from Fe at (0.0000, 0.0000, 0.0000), Fe at (0.0000, 0.5000, 0.2801), Hg at (0.0000, 0.5000, 0.7602) and Ir at (0.0000, 0.0000, 0.5362).

---

# 2
The following is a PBE-GGA calculation of a relaxed structure of AcPm5Tm3, from the Alexandria database.

Its electronic total energy is -162.20 eV per cell. Its spin magnetization is 0.0 μB per formula unit. As for the formation energy: 0.7 eV/f.u.

It has space group C2/c (No. 15), with a = 15.3304 Å, b = 10.0526 Å, c = 9.1125 Å, α = 90.00°, β = 119.77° and γ = 90.00°. Symmetry generates all atoms from Ac at (0.0000, 0.0967, 0.2500), Pm at (0.0000, 0.4395, 0.2500), Pm at (0.1649, 0.1079, 0.0706), Pm at (0.1776, 0.4304, 0.1031), Tm at (0.0842, 0.2549, 0.6642) and Tm at (0.2500, 0.2500, 0.5000).

---

# 3
The following is a PBE-GGA calculation of a relaxed structure of LaNbN3, from the Alexandria database.

Its electronic total energy is -32.32 eV per cell. Its spin magnetization is 0.0 μB per formula unit. The value obtained for the energy relative to the elements, uncorrected is 1530 meV/atom.

It has space group Pm-3m (No. 221), with a = 4.2469 Å, b = 4.2469 Å, c = 4.2469 Å, α = 90.00°, β = 90.00° and γ = 90.00°. Symmetry generates all atoms from La at (0.0000, 0.0000, 0.0000), Nb at (0.5000, 0.5000, 0.5000) and N at (0.0000, 0.0000, 0.5000).